w | Ce2CoH4: relaxed, PBE-GGA.

Calculated values
Its magnetization is 3.56 Bohr magnetons per cell. The calculation puts the volume at 171.3 Å³/cell.

Structure (CIF):
```
data_Ce2CoH4
_chemical_formula_sum 'Ce4 Co2 H8'
_space_group_name_H-M_alt 'P 1'
_space_group_IT_number 1
_space_group_name_Hall 'P 1'
_cell_length_a 5.6484
_cell_length_b 4.6128
_cell_length_c 6.9817
_cell_angle_alpha 90.00
_cell_angle_beta 109.68
_cell_angle_gamma 90.00
loop_
_atom_site_label
_atom_site_type_symbol
_atom_site_fract_x
_atom_site_fract_y
_atom_site_fract_z
Co1 Co 0.6958 0.2500 0.7897
Co2 Co 0.3042 0.7500 0.2103
Ce1 Ce 0.2315 0.2500 0.9380
Ce2 Ce 0.2223 0.2500 0.4355
Ce3 Ce 0.7685 0.7500 0.0620
Ce4 Ce 0.7777 0.7500 0.5645
H1 H 0.4910 0.9882 0.7428
H2 H 0.1303 0.7500 0.9577
H3 H 0.1132 0.7500 0.3633
H4 H 0.4910 0.5118 0.7428
H5 H 0.5090 0.0118 0.2572
H6 H 0.8697 0.2500 0.0423
H7 H 0.8868 0.2500 0.6367
H8 H 0.5090 0.4882 0.2572
```


x | Ce2CoH4: relaxed, PBE-GGA.

Calculated values
Its magnetization is 0.98 Bohr magnetons per cell. The calculation puts the volume at 77.4 Å³/cell.

Structure (CIF):
```
data_Ce2CoH4
_chemical_formula_sum 'Ce2 Co1 H4'
_space_group_name_H-M_alt 'P 1'
_space_group_IT_number 1
_space_group_name_Hall 'P 1'
_cell_length_a 3.2958
_cell_length_b 3.2958
_cell_length_c 7.4930
_cell_angle_alpha 102.70
_cell_angle_beta 102.70
_cell_angle_gamma 90.00
loop_
_atom_site_label
_atom_site_type_symbol
_atom_site_fract_x
_atom_site_fract_y
_atom_site_fract_z
Ce1 Ce 0.6380 0.6380 0.2761
Ce2 Ce 0.3620 0.3620 0.7239
H1 H 0.0000 0.5000 0.0000
H2 H 0.5000 0.0000 0.0000
H3 H 0.8037 0.8037 0.6074
H4 H 0.1963 0.1963 0.3926
Co1 Co 0.0000 0.0000 0.0000
```


Which structure is most stable? w, by 2.1 kJ/mol of atoms over the runner-up.


w | CeCo2H6: relaxed, PBE-GGA.

Calculated values
Its magnetization is 0.97 Bohr magnetons per cell. The calculation puts the volume at 69.7 Å³/cell.

Structure (CIF):
```
data_CeCo2H6
_chemical_formula_sum 'Ce1 Co2 H6'
_space_group_name_H-M_alt 'P 1'
_space_group_IT_number 1
_space_group_name_Hall 'P 1'
_cell_length_a 4.1944
_cell_length_b 4.3790
_cell_length_c 4.3790
_cell_angle_alpha 120.00
_cell_angle_beta 90.00
_cell_angle_gamma 90.00
loop_
_atom_site_label
_atom_site_type_symbol
_atom_site_fract_x
_atom_site_fract_y
_atom_site_fract_z
Co1 Co 0.5000 0.6667 0.3333
Co2 Co 0.5000 0.3333 0.6667
H1 H 0.7509 0.5000 0.5000
H2 H 0.7509 0.0000 0.5000
H3 H 0.7509 0.5000 0.0000
H4 H 0.2491 0.5000 0.5000
H5 H 0.2491 0.0000 0.5000
H6 H 0.2491 0.5000 0.0000
Ce1 Ce 0.0000 0.0000 0.0000
```


x | CeCo2H6: relaxed, PBE-GGA.

Calculated values
Its magnetization is 0.62 Bohr magnetons per cell. The calculation puts the volume at 75.5 Å³/cell.

Structure (CIF):
```
data_CeCo2H6
_chemical_formula_sum 'Ce1 Co2 H6'
_space_group_name_H-M_alt 'P 1'
_space_group_IT_number 1
_space_group_name_Hall 'P 1'
_cell_length_a 3.6141
_cell_length_b 4.3737
_cell_length_c 5.6565
_cell_angle_alpha 72.07
_cell_angle_beta 71.37
_cell_angle_gamma 65.60
loop_
_atom_site_label
_atom_site_type_symbol
_atom_site_fract_x
_atom_site_fract_y
_atom_site_fract_z
H1 H 0.7128 0.1650 0.4094
H2 H 0.0101 0.1245 0.8552
H3 H 0.2872 0.8350 0.5906
H4 H 0.7072 0.6744 0.9113
H5 H 0.9899 0.8755 0.1448
H6 H 0.2928 0.3256 0.0887
Co1 Co 0.1955 0.7165 0.8925
Co2 Co 0.8045 0.2835 0.1075
Ce1 Ce 0.0000 0.5000 0.5000
```


Which structure is most stable? w, by 16.2 kJ/mol of atoms over the runner-up.


w | Ce4Co2H: relaxed, PBE-GGA.

Calculated values
Its magnetization is 1.23 Bohr magnetons per cell. The calculation puts the volume at 308.2 Å³/cell.

Structure (CIF):
```
data_Ce4Co2H
_chemical_formula_sum 'Ce8 Co4 H2'
_space_group_name_H-M_alt 'P 1'
_space_group_IT_number 1
_space_group_name_Hall 'P 1'
_cell_length_a 7.5870
_cell_length_b 7.5870
_cell_length_c 7.5769
_cell_angle_alpha 120.01
_cell_angle_beta 120.00
_cell_angle_gamma 90.06
loop_
_atom_site_label
_atom_site_type_symbol
_atom_site_fract_x
_atom_site_fract_y
_atom_site_fract_z
Ce1 Ce 0.3741 0.6245 0.2499
Ce2 Ce 0.3743 0.1249 0.2499
Ce3 Ce 0.8759 0.1255 0.2502
Ce4 Ce 0.8757 0.6251 0.2500
Ce5 Ce 0.3747 0.1242 0.7497
Ce6 Ce 0.8753 0.6259 0.7503
Ce7 Ce 0.3755 0.6260 0.7504
Ce8 Ce 0.8745 0.1240 0.7496
H1 H 0.0000 0.0002 0.0000
H2 H 0.2499 0.7498 0.5000
Co1 Co 0.1250 0.3750 0.7500
Co2 Co 0.6250 0.3750 0.7499
Co3 Co 0.6251 0.8750 0.2501
Co4 Co 0.6250 0.3749 0.2500
```


x | Ce4Co2H: relaxed, PBE-GGA.

Calculated values
Its magnetization is 1.88 Bohr magnetons per cell. The calculation puts the volume at 143.2 Å³/cell.

Structure (CIF):
```
data_Ce4Co2H
_chemical_formula_sum 'Ce4 Co2 H1'
_space_group_name_H-M_alt 'P 1'
_space_group_IT_number 1
_space_group_name_Hall 'P 1'
_cell_length_a 4.5167
_cell_length_b 4.5167
_cell_length_c 7.7139
_cell_angle_alpha 107.02
_cell_angle_beta 107.02
_cell_angle_gamma 90.00
loop_
_atom_site_label
_atom_site_type_symbol
_atom_site_fract_x
_atom_site_fract_y
_atom_site_fract_z
Co1 Co 0.6491 0.6491 0.2982
Co2 Co 0.3509 0.3509 0.7018
Ce1 Ce 0.1973 0.1973 0.3946
Ce2 Ce 0.8027 0.8027 0.6054
Ce3 Ce 0.5000 0.0000 0.0000
Ce4 Ce 0.0000 0.5000 0.0000
H1 H 0.0000 0.0000 0.0000
```


Which structure is most stable? w, by 1.6 kJ/mol of atoms over the runner-up.


w | CeHfCo2: relaxed, PBE-GGA.

Calculated values
Its magnetization is 0.37 Bohr magnetons per cell. The calculation puts the volume at 68.4 Å³/cell.

Structure (CIF):
```
data_CeHfCo2
_chemical_formula_sum 'Ce1 Hf1 Co2'
_space_group_name_H-M_alt 'P 1'
_space_group_IT_number 1
_space_group_name_Hall 'P 1'
_cell_length_a 3.1170
_cell_length_b 3.1170
_cell_length_c 7.0353
_cell_angle_alpha 90.00
_cell_angle_beta 90.00
_cell_angle_gamma 90.00
loop_
_atom_site_label
_atom_site_type_symbol
_atom_site_fract_x
_atom_site_fract_y
_atom_site_fract_z
Co1 Co 0.0000 0.0000 0.2118
Co2 Co 0.0000 0.0000 0.7882
Ce1 Ce 0.5000 0.5000 0.5000
Hf1 Hf 0.5000 0.5000 0.0000
```


x | CeHfCo2: relaxed, PBE-GGA.

Calculated values
Its magnetization is 0.00 Bohr magnetons per cell. The calculation puts the volume at 71.6 Å³/cell.

Structure (CIF):
```
data_CeHfCo2
_chemical_formula_sum 'Ce1 Hf1 Co2'
_space_group_name_H-M_alt 'P 1'
_space_group_IT_number 1
_space_group_name_Hall 'P 1'
_cell_length_a 4.3368
_cell_length_b 4.3368
_cell_length_c 5.0568
_cell_angle_alpha 64.61
_cell_angle_beta 64.61
_cell_angle_gamma 60.00
loop_
_atom_site_label
_atom_site_type_symbol
_atom_site_fract_x
_atom_site_fract_y
_atom_site_fract_z
Hf1 Hf 0.5000 0.5000 0.5000
Ce1 Ce 0.0000 0.0000 0.0000
Co1 Co 0.2220 0.2220 0.3340
Co2 Co 0.7780 0.7780 0.6660
```


Which structure is most stable? w, by 8.2 kJ/mol of atoms over the runner-up.


w | Ce2CoHg: relaxed, PBE-GGA.

Calculated values
Its magnetization is 0.00 Bohr magnetons per cell. The calculation puts the volume at 347.0 Å³/cell.

Structure (CIF):
```
data_Ce2CoHg
_chemical_formula_sum 'Ce8 Co4 Hg4'
_space_group_name_H-M_alt 'P 1'
_space_group_IT_number 1
_space_group_name_Hall 'P 1'
_cell_length_a 6.7191
_cell_length_b 4.8338
_cell_length_c 10.6842
_cell_angle_alpha 90.00
_cell_angle_beta 90.00
_cell_angle_gamma 90.00
loop_
_atom_site_label
_atom_site_type_symbol
_atom_site_fract_x
_atom_site_fract_y
_atom_site_fract_z
Ce1 Ce 0.4562 0.4999 0.6372
Ce2 Ce 0.2059 0.4997 0.9176
Ce3 Ce 0.2059 0.9997 0.5824
Ce4 Ce 0.7059 0.5003 0.0824
Ce5 Ce 0.9562 0.0001 0.1372
Ce6 Ce 0.7059 0.0003 0.4176
Ce7 Ce 0.4562 0.9999 0.8628
Ce8 Ce 0.9562 0.5001 0.3628
Co1 Co 0.6616 0.5000 0.8574
Co2 Co 0.1616 0.0000 0.3575
Co3 Co 0.6616 0.0000 0.6425
Co4 Co 0.1616 0.5000 0.1426
Hg1 Hg 0.4261 0.5004 0.3452
Hg2 Hg 0.4261 0.0004 0.1548
Hg3 Hg 0.9261 0.9996 0.8452
Hg4 Hg 0.9261 0.4996 0.6548
```


x | Ce2CoHg: relaxed, PBE-GGA.

Calculated values
Its magnetization is 1.00 Bohr magnetons per cell. The calculation puts the volume at 101.4 Å³/cell.

Structure (CIF):
```
data_Ce2CoHg
_chemical_formula_sum 'Ce2 Co1 Hg1'
_space_group_name_H-M_alt 'P 1'
_space_group_IT_number 1
_space_group_name_Hall 'P 1'
_cell_length_a 3.8245
_cell_length_b 3.8245
_cell_length_c 8.3013
_cell_angle_alpha 76.68
_cell_angle_beta 76.68
_cell_angle_gamma 60.00
loop_
_atom_site_label
_atom_site_type_symbol
_atom_site_fract_x
_atom_site_fract_y
_atom_site_fract_z
Hg1 Hg 0.5000 0.5000 0.5000
Co1 Co 0.0000 0.0000 0.0000
Ce1 Ce 0.2696 0.2696 0.1913
Ce2 Ce 0.7304 0.7304 0.8087
```


Which structure is most stable? x, by 2.2 kJ/mol of atoms over the runner-up.


w | Ce4CoHg: relaxed, PBE-GGA.

Calculated values
Its magnetization is 2.55 Bohr magnetons per cell. The calculation puts the volume at 287.4 Å³/cell.

Structure (CIF):
```
data_Ce4CoHg
_chemical_formula_sum 'Ce8 Co2 Hg2'
_space_group_name_H-M_alt 'P 1'
_space_group_IT_number 1
_space_group_name_Hall 'P 1'
_cell_length_a 5.6947
_cell_length_b 6.4517
_cell_length_c 11.4352
_cell_angle_alpha 111.48
_cell_angle_beta 121.48
_cell_angle_gamma 102.19
loop_
_atom_site_label
_atom_site_type_symbol
_atom_site_fract_x
_atom_site_fract_y
_atom_site_fract_z
Ce1 Ce 0.3672 0.6231 0.4346
Ce2 Ce 0.8309 0.1332 0.0714
Ce3 Ce 0.5386 0.5658 0.1617
Ce4 Ce 0.6328 0.3769 0.5654
Ce5 Ce 0.0856 0.8675 0.5872
Ce6 Ce 0.9144 0.1325 0.4128
Ce7 Ce 0.1691 0.8668 0.9286
Ce8 Ce 0.4614 0.4342 0.8383
Co1 Co 0.4005 0.6652 0.7241
Co2 Co 0.5995 0.3348 0.2759
Hg1 Hg 0.1490 0.8362 0.2074
Hg2 Hg 0.8510 0.1638 0.7926
```


x | Ce4CoHg: relaxed, PBE-GGA.

Calculated values
Its magnetization is 1.35 Bohr magnetons per cell. The calculation puts the volume at 293.0 Å³/cell.

Structure (CIF):
```
data_Ce4CoHg
_chemical_formula_sum 'Ce8 Co2 Hg2'
_space_group_name_H-M_alt 'P 1'
_space_group_IT_number 1
_space_group_name_Hall 'P 1'
_cell_length_a 5.8095
_cell_length_b 7.8109
_cell_length_c 7.9578
_cell_angle_alpha 111.19
_cell_angle_beta 101.02
_cell_angle_gamma 110.75
loop_
_atom_site_label
_atom_site_type_symbol
_atom_site_fract_x
_atom_site_fract_y
_atom_site_fract_z
Ce1 Ce 0.6854 0.1221 0.3878
Ce2 Ce 0.2943 0.6584 0.8276
Ce3 Ce 0.7057 0.3416 0.1724
Ce4 Ce 0.7976 0.7344 0.6122
Ce5 Ce 0.2024 0.2656 0.3878
Ce6 Ce 0.0333 0.1691 0.8276
Ce7 Ce 0.9667 0.8309 0.1724
Ce8 Ce 0.3146 0.8779 0.6122
Co1 Co 0.2634 0.0134 0.0269
Co2 Co 0.7366 0.9866 0.9731
Hg1 Hg 0.6444 0.3944 0.7888
Hg2 Hg 0.3556 0.6056 0.2112
```


Which structure is most stable? w, by 2.0 kJ/mol of atoms over the runner-up.